(1)
## RbMgSn3 (GGA-PBE)

Data for a geometry-optimized RbMgSn3 structure.

CIF file:
```
data_RbMgSn3
_chemical_formula_sum 'Rb1 Mg1 Sn3'
_symmetry_space_group_name_H-M 'P 1'
_symmetry_Int_Tables_number 1
_cell_length_a 6.096
_cell_length_b 6.096
_cell_length_c 6.096
_cell_angle_alpha 90.00
_cell_angle_beta 90.00
_cell_angle_gamma 90.00
loop_
_symmetry_equiv_pos_as_xyz
'x,y,z'
loop_
_atom_site_label
_atom_site_type_symbol
_atom_site_fract_x
_atom_site_fract_y
_atom_site_fract_z
_atom_site_occupancy
Rb1 Rb 0.000 0.000 0.000 1
Mg1 Mg 0.500 0.500 0.500 1
Sn1 Sn 0.000 0.000 0.500 1
Sn2 Sn 0.000 0.500 0.000 1
Sn3 Sn 0.500 0.000 0.000 1
```

Values from the calculation:
* symmetry: No. 221
* polymorph energy (0 for the lowest one): 1355 meV per atom
* energy: -1.6535 eV/atom
* calculated formation energy: 6.30 eV per formula unit
* total moment: 0.0 Bohr magnetons per cell
* crystal system: cubic

=====

(2)
## Rb3Mg2Sn9 (GGA-PBE)

Data for a geometry-optimized Rb3Mg2Sn9 structure.

CIF file:
```
data_Rb3Mg2Sn9
_chemical_formula_sum 'Rb3 Mg2 Sn9'
_symmetry_space_group_name_H-M 'P 1'
_symmetry_Int_Tables_number 1
_cell_length_a 10.014
_cell_length_b 10.014
_cell_length_c 10.014
_cell_angle_alpha 152.48
_cell_angle_beta 96.70
_cell_angle_gamma 89.80
loop_
_symmetry_equiv_pos_as_xyz
'x,y,z'
loop_
_atom_site_label
_atom_site_type_symbol
_atom_site_fract_x
_atom_site_fract_y
_atom_site_fract_z
_atom_site_occupancy
Rb1 Rb 0.000 0.000 0.000 1
Rb2 Rb 0.264 0.264 0.000 1
Rb3 Rb 0.736 0.736 0.000 1
Mg1 Mg 0.363 0.500 0.863 1
Mg2 Mg 0.637 0.500 0.137 1
Sn1 Sn 0.052 0.379 0.673 1
Sn2 Sn 0.151 0.846 0.305 1
Sn3 Sn 0.294 0.621 0.673 1
Sn4 Sn 0.459 0.154 0.305 1
Sn5 Sn 0.500 0.000 0.500 1
Sn6 Sn 0.541 0.846 0.695 1
Sn7 Sn 0.706 0.379 0.327 1
Sn8 Sn 0.849 0.154 0.695 1
Sn9 Sn 0.948 0.621 0.327 1
```

Values from the calculation:
* symmetry: No. 71
* energy: -3.1681 eV/atom
* calculated formation energy: -2.24 eV per formula unit
* total moment: 0.0 Bohr magnetons per cell
* crystal system: orthorhombic

=====

(3)
## Rb2MgSn10 (GGA-PBE)

Data for a geometry-optimized Rb2MgSn10 structure.

CIF file:
```
data_Rb2MgSn10
_chemical_formula_sum 'Rb4 Mg2 Sn20'
_symmetry_space_group_name_H-M 'P 1'
_symmetry_Int_Tables_number 1
_cell_length_a 11.735
_cell_length_b 13.952
_cell_length_c 6.522
_cell_angle_alpha 90.00
_cell_angle_beta 90.00
_cell_angle_gamma 90.00
loop_
_symmetry_equiv_pos_as_xyz
'x,y,z'
loop_
_atom_site_label
_atom_site_type_symbol
_atom_site_fract_x
_atom_site_fract_y
_atom_site_fract_z
_atom_site_occupancy
Rb1 Rb 0.143 0.172 0.000 1
Rb2 Rb 0.357 0.672 0.000 1
Rb3 Rb 0.643 0.328 0.000 1
Rb4 Rb 0.857 0.828 0.000 1
Mg1 Mg 0.000 0.000 0.500 1
Mg2 Mg 0.500 0.500 0.500 1
Sn1 Sn 0.111 0.753 0.500 1
Sn2 Sn 0.140 0.519 0.500 1
Sn3 Sn 0.144 0.305 0.500 1
Sn4 Sn 0.184 0.920 0.231 1
Sn5 Sn 0.184 0.920 0.769 1
Sn6 Sn 0.316 0.420 0.231 1
Sn7 Sn 0.316 0.420 0.769 1
Sn8 Sn 0.356 0.805 0.500 1
Sn9 Sn 0.360 0.019 0.500 1
Sn10 Sn 0.389 0.253 0.500 1
Sn11 Sn 0.611 0.747 0.500 1
Sn12 Sn 0.640 0.981 0.500 1
Sn13 Sn 0.644 0.195 0.500 1
Sn14 Sn 0.684 0.580 0.231 1
Sn15 Sn 0.684 0.580 0.769 1
Sn16 Sn 0.816 0.080 0.231 1
Sn17 Sn 0.816 0.080 0.769 1
Sn18 Sn 0.856 0.695 0.500 1
Sn19 Sn 0.860 0.481 0.500 1
Sn20 Sn 0.889 0.247 0.500 1
```

Values from the calculation:
* symmetry: No. 55
* energy: -3.3431 eV/atom
* calculated formation energy: 0.10 eV per formula unit
* total moment: 0.0 Bohr magnetons per cell
* crystal system: orthorhombic

=====

(4)
## RbMg14Sn (GGA-PBE)

Data for a geometry-optimized RbMg14Sn structure.

CIF file:
```
data_RbMg14Sn
_chemical_formula_sum 'Rb1 Mg14 Sn1'
_symmetry_space_group_name_H-M 'P 1'
_symmetry_Int_Tables_number 1
_cell_length_a 10.504
_cell_length_b 6.472
_cell_length_c 6.472
_cell_angle_alpha 65.83
_cell_angle_beta 90.00
_cell_angle_gamma 90.00
loop_
_symmetry_equiv_pos_as_xyz
'x,y,z'
loop_
_atom_site_label
_atom_site_type_symbol
_atom_site_fract_x
_atom_site_fract_y
_atom_site_fract_z
_atom_site_occupancy
Rb1 Rb 0.000 0.000 0.000 1
Mg1 Mg 0.000 0.516 0.943 1
Mg2 Mg 0.000 0.943 0.516 1
Mg3 Mg 0.247 0.271 0.271 1
Mg4 Mg 0.262 0.781 0.781 1
Mg5 Mg 0.265 0.297 0.759 1
Mg6 Mg 0.265 0.759 0.297 1
Mg7 Mg 0.500 0.450 0.450 1
Mg8 Mg 0.500 0.459 0.956 1
Mg9 Mg 0.500 0.956 0.459 1
Mg10 Mg 0.500 0.960 0.960 1
Mg11 Mg 0.735 0.297 0.759 1
Mg12 Mg 0.735 0.759 0.297 1
Mg13 Mg 0.738 0.781 0.781 1
Mg14 Mg 0.753 0.271 0.271 1
Sn1 Sn 0.000 0.453 0.453 1
```

Values from the calculation:
* symmetry: No. 38
* polymorph energy (0 for the lowest one): 0 meV per atom
* energy: -1.6139 eV/atom
* calculated formation energy: 1.47 eV per formula unit
* total moment: 0.0 Bohr magnetons per cell
* crystal system: orthorhombic

=====

(5)
## RbMg4Sn6 (GGA-PBE)

Data for a geometry-optimized RbMg4Sn6 structure.

CIF file:
```
data_RbMg4Sn6
_chemical_formula_sum 'Rb1 Mg4 Sn6'
_symmetry_space_group_name_H-M 'P 1'
_symmetry_Int_Tables_number 1
_cell_length_a 8.738
_cell_length_b 8.738
_cell_length_c 4.703
_cell_angle_alpha 90.00
_cell_angle_beta 90.00
_cell_angle_gamma 120.00
loop_
_symmetry_equiv_pos_as_xyz
'x,y,z'
loop_
_atom_site_label
_atom_site_type_symbol
_atom_site_fract_x
_atom_site_fract_y
_atom_site_fract_z
_atom_site_occupancy
Rb1 Rb 0.000 0.000 0.000 1
Mg1 Mg 0.333 0.667 0.000 1
Mg2 Mg 0.419 0.210 0.500 1
Mg3 Mg 0.790 0.210 0.500 1
Mg4 Mg 0.790 0.581 0.500 1
Sn1 Sn 0.203 0.405 0.500 1
Sn2 Sn 0.203 0.797 0.500 1
Sn3 Sn 0.529 0.057 0.000 1
Sn4 Sn 0.529 0.471 0.000 1
Sn5 Sn 0.595 0.797 0.500 1
Sn6 Sn 0.943 0.471 0.000 1
```

Values from the calculation:
* symmetry: No. 187
* energy: -2.9179 eV/atom
* calculated formation energy: -0.73 eV per formula unit
* total moment: 0.0 Bohr magnetons per cell
* crystal system: hexagonal

=====

(6)
## RbMg14Sn (GGA-PBE)

Data for a geometry-optimized RbMg14Sn structure.

CIF file:
```
data_RbMg14Sn
_chemical_formula_sum 'Rb1 Mg14 Sn1'
_symmetry_space_group_name_H-M 'P 1'
_symmetry_Int_Tables_number 1
_cell_length_a 6.648
_cell_length_b 6.648
_cell_length_c 10.547
_cell_angle_alpha 90.00
_cell_angle_beta 90.00
_cell_angle_gamma 120.00
loop_
_symmetry_equiv_pos_as_xyz
'x,y,z'
loop_
_atom_site_label
_atom_site_type_symbol
_atom_site_fract_x
_atom_site_fract_y
_atom_site_fract_z
_atom_site_occupancy
Rb1 Rb 0.000 0.000 0.000 1
Mg1 Mg 0.010 0.505 0.000 1
Mg2 Mg 0.173 0.346 0.268 1
Mg3 Mg 0.173 0.346 0.732 1
Mg4 Mg 0.173 0.827 0.268 1
Mg5 Mg 0.173 0.827 0.732 1
Mg6 Mg 0.495 0.505 0.000 1
Mg7 Mg 0.495 0.990 0.000 1
Mg8 Mg 0.506 0.013 0.500 1
Mg9 Mg 0.506 0.494 0.500 1
Mg10 Mg 0.654 0.827 0.268 1
Mg11 Mg 0.654 0.827 0.732 1
Mg12 Mg 0.667 0.333 0.244 1
Mg13 Mg 0.667 0.333 0.756 1
Mg14 Mg 0.987 0.494 0.500 1
Sn1 Sn 0.000 0.000 0.500 1
```

Values from the calculation:
* symmetry: No. 187
* polymorph energy (0 for the lowest one): 18 meV per atom
* energy: -1.5954 eV/atom
* calculated formation energy: 1.77 eV per formula unit
* total moment: 0.0 Bohr magnetons per cell
* crystal system: hexagonal

=====

(7)
## Rb3MgSn4 (GGA-PBE)

Data for a geometry-optimized Rb3MgSn4 structure.

CIF file:
```
data_Rb3MgSn4
_chemical_formula_sum 'Rb6 Mg2 Sn8'
_symmetry_space_group_name_H-M 'P 1'
_symmetry_Int_Tables_number 1
_cell_length_a 7.347
_cell_length_b 13.841
_cell_length_c 6.601
_cell_angle_alpha 90.00
_cell_angle_beta 90.00
_cell_angle_gamma 90.00
loop_
_symmetry_equiv_pos_as_xyz
'x,y,z'
loop_
_atom_site_label
_atom_site_type_symbol
_atom_site_fract_x
_atom_site_fract_y
_atom_site_fract_z
_atom_site_occupancy
Rb1 Rb 0.250 0.010 0.178 1
Rb2 Rb 0.250 0.250 0.555 1
Rb3 Rb 0.250 0.490 0.178 1
Rb4 Rb 0.750 0.510 0.822 1
Rb5 Rb 0.750 0.750 0.445 1
Rb6 Rb 0.750 0.990 0.822 1
Mg1 Mg 0.250 0.750 0.292 1
Mg2 Mg 0.750 0.250 0.708 1
Sn1 Sn 0.009 0.250 0.050 1
Sn2 Sn 0.250 0.640 0.687 1
Sn3 Sn 0.250 0.860 0.687 1
Sn4 Sn 0.491 0.250 0.050 1
Sn5 Sn 0.509 0.750 0.950 1
Sn6 Sn 0.750 0.140 0.313 1
Sn7 Sn 0.750 0.360 0.313 1
Sn8 Sn 0.991 0.750 0.950 1
```

Values from the calculation:
* symmetry: No. 59
* energy: -2.7834 eV/atom
* calculated formation energy: -1.76 eV per formula unit
* total moment: 0.0 Bohr magnetons per cell
* crystal system: orthorhombic

=====

(8)
## Rb3Mg3Sn8 (GGA-PBE)

Data for a geometry-optimized Rb3Mg3Sn8 structure.

CIF file:
```
data_Rb3Mg3Sn8
_chemical_formula_sum 'Rb3 Mg3 Sn8'
_symmetry_space_group_name_H-M 'P 1'
_symmetry_Int_Tables_number 1
_cell_length_a 9.881
_cell_length_b 9.881
_cell_length_c 9.881
_cell_angle_alpha 151.81
_cell_angle_beta 97.93
_cell_angle_gamma 88.89
loop_
_symmetry_equiv_pos_as_xyz
'x,y,z'
loop_
_atom_site_label
_atom_site_type_symbol
_atom_site_fract_x
_atom_site_fract_y
_atom_site_fract_z
_atom_site_occupancy
Rb1 Rb 0.000 0.000 0.000 1
Rb2 Rb 0.265 0.265 0.000 1
Rb3 Rb 0.735 0.735 0.000 1
Mg1 Mg 0.356 0.500 0.856 1
Mg2 Mg 0.500 0.000 0.500 1
Mg3 Mg 0.644 0.500 0.144 1
Sn1 Sn 0.040 0.371 0.669 1
Sn2 Sn 0.164 0.855 0.309 1
Sn3 Sn 0.298 0.629 0.669 1
Sn4 Sn 0.454 0.145 0.309 1
Sn5 Sn 0.546 0.855 0.691 1
Sn6 Sn 0.702 0.371 0.331 1
Sn7 Sn 0.836 0.145 0.691 1
Sn8 Sn 0.960 0.629 0.331 1
```

Values from the calculation:
* symmetry: No. 71
* energy: -2.9748 eV/atom
* calculated formation energy: -1.94 eV per formula unit
* total moment: 0.0 Bohr magnetons per cell
* crystal system: orthorhombic